The following is a DFT calculation (PBE) of a relaxed structure of BaCu3Rh.

Output
Excess energy over the best structure of this formula in the dataset in meV/atom: 1927
Calculated formation energy in eV/atom: 1.961

a = 5.289 Å, b = 5.289 Å, c = 5.289 Å
α = 90.00°, β = 90.00°, γ = 90.00°
Space group Pm-3m (No. 221)
Unique sites:
Ba1 0.000 0.000 0.000 x1
Cu1 0.000 0.000 0.500 x3
Rh1 0.500 0.500 0.500 x1


The following is a DFT calculation (PBE) of a relaxed structure of Pm4GePb3.

Output
Calculated formation energy in eV/atom: -0.475

a = 7.799 Å, b = 7.799 Å, c = 7.799 Å
α = 90.00°, β = 90.00°, γ = 90.00°
Space group I-43m (No. 217)
Unique sites:
Pm1 0.215 0.215 0.215 x8
Ge1 0.000 0.000 0.000 x2
Pb1 0.000 0.000 0.500 x6


The following is a DFT calculation (PBE) of a relaxed structure of KTc2PdC.

Output
Calculated formation energy in eV/atom: 0.878

a = 4.122 Å, b = 4.122 Å, c = 4.729 Å
α = 90.00°, β = 90.00°, γ = 90.00°
Space group P4/mmm (No. 123)
Unique sites:
K1 0.000 0.000 0.000 x1
Tc1 0.000 0.500 0.500 x2
Pd1 0.500 0.500 0.000 x1
C1 0.500 0.500 0.500 x1


The following is a DFT calculation (PBE) of a relaxed structure of CoPRh2.

Output
Calculated formation energy in eV/atom: -0.106

a = 2.7930 Å, b = 2.7930 Å, c = 23.5160 Å
α = 90.00°, β = 90.00°, γ = 120.00°
Space group R-3m (No. 166, hexagonal axes)
Unique sites:
Co1 0.0000 0.0000 0.0000 x3
P1 0.0000 0.0000 0.5000 x3
Rh1 0.0000 0.0000 0.2431 x6


The following is a DFT calculation (PBE) of a relaxed structure of BaAs6.

Output
Calculated formation energy in eV/atom: -0.008

a = 7.461 Å, b = 7.461 Å, c = 7.461 Å
α = 90.00°, β = 90.00°, γ = 90.00°
Space group Im-3m (No. 229)
Unique sites:
Ba1 0.000 0.000 0.000 x2
As1 0.000 0.250 0.500 x12


The following is a DFT calculation (PBE) of a relaxed structure of La3Sc4Sn4.

Output
Calculated formation energy in eV/atom: -0.455

a = 8.763 Å, b = 8.763 Å, c = 8.763 Å
α = 90.00°, β = 90.00°, γ = 90.00°
Space group I-43m (No. 217)
Unique sites:
La1 0.000 0.000 0.500 x6
Sc1 0.124 0.124 0.124 x8
Sn1 0.193 0.193 0.807 x8


The following is a DFT calculation (PBE) of a relaxed structure of LiEuErLu.

Output
Calculated formation energy in eV/atom: 0.205

a = 7.850 Å, b = 7.850 Å, c = 7.850 Å
α = 90.00°, β = 90.00°, γ = 90.00°
Space group F-43m (No. 216)
Unique sites:
Li1 0.000 0.000 0.000 x4
Eu1 0.250 0.250 0.750 x4
Er1 0.250 0.250 0.250 x4
Lu1 0.000 0.000 0.500 x4


The following is a DFT calculation (PBE) of a relaxed structure of LiMn2Ge2.

Output
Excess energy over the best structure of this formula in the dataset in meV/atom: 54
Calculated formation energy in eV/atom: -0.047

a = 3.897 Å, b = 3.897 Å, c = 10.734 Å
α = 90.00°, β = 90.00°, γ = 90.00°
Space group I4/mmm (No. 139)
Unique sites:
Li1 0.000 0.000 0.000 x2
Mn1 0.000 0.500 0.250 x4
Ge1 0.000 0.000 0.383 x4


The following is a DFT calculation (PBE) of a relaxed structure of MnSb2Se4.

Output
Excess energy over the best structure of this formula in the dataset in meV/atom: 47

a = 13.800 Å, b = 3.958 Å, c = 15.015 Å
α = 90.00°, β = 90.00°, γ = 90.00°
Space group Pnma (No. 62)
Unique sites:
Mn1 0.093 0.250 0.034 x4
Sb1 0.110 0.750 0.434 x4
Sb2 0.157 0.750 0.826 x4
Se1 0.001 0.250 0.884 x4
Se2 0.010 0.750 0.621 x4
Se3 0.213 0.750 0.275 x4
Se4 0.218 0.750 0.994 x4


The following is a DFT calculation (PBE) of a relaxed structure of K2CdHg.

Output
Calculated formation energy in eV/atom: -0.105

a = 8.496 Å, b = 8.588 Å, c = 4.270 Å
α = 90.00°, β = 90.00°, γ = 90.00°
Space group Cmmm (No. 65)
Unique sites:
K1 0.250 0.250 0.000 x4
Cd1 0.000 0.000 0.500 x2
Hg1 0.000 0.500 0.500 x2


The following is a DFT calculation (PBE) of a relaxed structure of KRbAsH.

Output
Calculated total energy in eV per cell: -22.88

a = 10.140 Å, b = 5.882 Å, c = 5.534 Å
α = 90.00°, β = 121.54°, γ = 90.00°
Space group Cm (No. 8)
Unique sites:
K1 0.000 0.000 0.000 x2
Rb1 0.461 0.000 0.449 x2
As1 0.219 0.500 0.175 x2
H1 0.251 0.500 0.483 x2


The following is a DFT calculation (PBE) of a relaxed structure of Sm3Ge2Br2.

Output
Calculated total energy in eV per cell: -34.02

a = 4.152 Å, b = 7.319 Å, c = 7.761 Å
α = 78.04°, β = 89.93°, γ = 73.68°
Space group P-1 (No. 2)
Unique sites:
Sm1 0.000 0.000 0.000 x1
Sm2 0.240 0.519 0.770 x2
Ge1 0.380 0.243 0.113 x2
Br1 0.138 0.727 0.372 x2


Copy entry 10 word for word.
The following is a DFT calculation (PBE) of a relaxed structure of K2CdHg.

Output
Calculated formation energy in eV/atom: -0.105

a = 8.496 Å, b = 8.588 Å, c = 4.270 Å
α = 90.00°, β = 90.00°, γ = 90.00°
Space group Cmmm (No. 65)
Unique sites:
K1 0.250 0.250 0.000 x4
Cd1 0.000 0.000 0.500 x2
Hg1 0.000 0.500 0.500 x2